PBE Sr2AlAsP, relaxed; total magnetization = 0.00 μB/cell; space-group type = P2_1/m, No. 11; D(E_F) = 3.2 states/eV/cell; VASP energy = -4.285 eV per atom
1.0
7.635 0.000 0.000
0.000 4.249 0.000
-0.002 0.000 8.401
Sr Al As P
4 2 2 2
Cartesian
1.786 1.062 0.056 Sr
1.785 1.062 4.141 Sr
5.848 3.187 4.260 Sr
5.847 3.187 8.345 Sr
3.167 3.187 6.298 Al
4.466 1.062 2.103 Al
0.751 3.187 6.300 As
6.882 1.062 2.101 As
3.324 3.187 2.097 P
4.309 1.062 6.305 P

=====

PBE AlTc2AsP, relaxed; E above lowest polymorph = 64 meV/atom; total magnetization = 0.00 μB/cell; space-group type = P4/mmm, No. 123; D(E_F) = 6.1 states/eV/cell; VASP energy = -5.669 eV per atom
1.0
4.597 0.000 0.000
0.000 4.597 0.000
0.000 0.000 4.547
Al Tc As P
1 2 1 1
Cartesian
0.000 0.000 0.000 Al
0.000 2.299 2.273 Tc
2.299 0.000 2.273 Tc
0.000 0.000 2.273 As
2.299 2.299 0.000 P

=====

PBE AlTc2AsP, relaxed; E above lowest polymorph = 0 meV/atom; total magnetization = 1.34 μB/cell; space-group type = P4/mmm, No. 123; D(E_F) = 4.7 states/eV/cell; VASP energy = -5.732 eV per atom
1.0
4.633 0.000 0.000
0.000 4.633 0.000
0.000 0.000 4.493
Al Tc As P
1 2 1 1
Cartesian
0.000 0.000 0.000 Al
0.000 2.316 2.246 Tc
2.316 0.000 2.246 Tc
2.316 2.316 2.246 As
2.316 2.316 0.000 P

=====

no.,E_form (eV/atom)
1,-0.8523
2,1.2382
3,1.1745